A geometry-optimized ScInNiIr structure, computed with PBE.

a b c (Å): 6.410 6.410 6.410
angles (deg): 90.00 90.00 90.00
Space group F-43m (No. 216)
Asymmetric unit:
Sc 0.000 0.000 0.000
In 0.000 0.000 0.500
Ni 0.250 0.250 0.750
Ir 0.250 0.250 0.250

Summary:
- energy of formation (eV per atom) = -0.527
- uncorrected energy (eV/atom) = -6.45

A geometry-optimized InNiIrSe2 structure, computed with PBE.

a b c (Å): 4.571 4.571 4.828
angles (deg): 90.00 90.00 90.00
Space group P4/mmm (No. 123)
Asymmetric unit:
In 0.000 0.000 0.000
Ni 0.000 0.000 0.500
Ir 0.500 0.500 0.000
Se 0.000 0.500 0.500

Summary:
- uncorrected energy (eV/atom) = -4.08

A geometry-optimized InNi2IrSe structure, computed with PBE.

a b c (Å): 4.206 4.206 5.180
angles (deg): 90.00 90.00 90.00
Space group P4/mmm (No. 123)
Asymmetric unit:
In 0.000 0.000 0.000
Ni 0.000 0.500 0.500
Ir 0.500 0.500 0.000
Se 0.000 0.000 0.500

Summary:
- uncorrected energy (eV/atom) = -4.45

A geometry-optimized InNiSnIr structure, computed with PBE.

a b c (Å): 6.474 6.474 6.474
angles (deg): 90.00 90.00 90.00
Space group F-43m (No. 216)
Asymmetric unit:
In 0.000 0.000 0.000
Ni 0.250 0.250 0.250
Sn 0.000 0.000 0.500
Ir 0.250 0.250 0.750

Summary:
- energy of formation (eV per atom) = -0.023
- uncorrected energy (eV/atom) = -5.37

A geometry-optimized InNiSn2Ir structure, computed with PBE.

a b c (Å): 4.783 4.783 4.821
angles (deg): 90.00 90.00 90.00
Space group P4/mmm (No. 123)
Asymmetric unit:
In 0.000 0.000 0.000
Ni 0.000 0.000 0.500
Sn 0.000 0.500 0.500
Ir 0.500 0.500 0.000

Summary:
- energy of formation (eV per atom) = 0.530
- uncorrected energy (eV/atom) = -4.55

A geometry-optimized SrIn4Ni2Ir structure, computed with PBE.

a b c (Å): 4.4427 4.4427 30.6282
angles (deg): 90.00 90.00 120.00
Space group R-3m (No. 166, hexagonal axes)
Asymmetric unit:
Sr 0.0000 0.0000 0.0000
In 0.0000 0.0000 0.1320
In 0.0000 0.0000 0.4066
Ni 0.0000 0.0000 0.2226
Ir 0.0000 0.0000 0.5000

Summary:
- energy of formation (eV per atom) = -0.171
- uncorrected energy (eV/atom) = -4.30